No. 1
# LiRh2Br (GGA-PBE, relaxed)
data_LiRh2Br
_chemical_formula_sum 'Li4 Rh8 Br4'
_cell_length_a 6.2015
_cell_length_b 6.2015
_cell_length_c 6.2015
_cell_angle_alpha 90.00
_cell_angle_beta 90.00
_cell_angle_gamma 90.00
_symmetry_space_group_name_H-M 'F m -3 m'
_symmetry_Int_Tables_number 225
_symmetry_space_group_name_Hall '-F 4 2 3'
loop_
_atom_site_label
_atom_site_type_symbol
_atom_site_fract_x
_atom_site_fract_y
_atom_site_fract_z
Li1 Li 0.0000 0.0000 0.0000
Rh1 Rh 0.2500 0.2500 0.2500
Br1 Br 0.0000 0.0000 0.5000
# - Fermi-level density of states: 4.73 states/eV/f.u.
# - Raw formation energy: 0.385 eV/atom

No. 2
# Ir2RhBr (GGA-PBE, relaxed)
data_Ir2RhBr
_chemical_formula_sum 'Ir4 Rh2 Br2'
_cell_length_a 4.0744
_cell_length_b 4.0744
_cell_length_c 7.5821
_cell_angle_alpha 90.00
_cell_angle_beta 90.00
_cell_angle_gamma 90.00
_symmetry_space_group_name_H-M 'I 4/m m m'
_symmetry_Int_Tables_number 139
_symmetry_space_group_name_Hall '-I 4 2'
loop_
_atom_site_label
_atom_site_type_symbol
_atom_site_fract_x
_atom_site_fract_y
_atom_site_fract_z
Ir1 Ir 0.0000 0.5000 0.2500
Rh1 Rh 0.0000 0.0000 0.0000
Br1 Br 0.0000 0.0000 0.5000
# - Fermi-level density of states: 5.74 states/eV/f.u.
# - Raw formation energy: 1.008 eV/atom

No. 3
# Ce2NbP4Ir3 (GGA-PBE, relaxed)
data_Ce2NbP4Ir3
_chemical_formula_sum 'Ce2 Nb1 P4 Ir3'
_cell_length_a 4.2521
_cell_length_b 4.2521
_cell_length_c 9.5785
_cell_angle_alpha 90.00
_cell_angle_beta 90.00
_cell_angle_gamma 90.00
_symmetry_space_group_name_H-M 'P -4 m 2'
_symmetry_Int_Tables_number 115
loop_
_symmetry_equiv_pos_as_xyz
'x,y,z'
'y,-x,-z'
'-x,-y,z'
'-y,x,-z'
'-x,y,z'
'-y,-x,-z'
'x,-y,z'
'y,x,-z'
loop_
_atom_site_label
_atom_site_type_symbol
_atom_site_fract_x
_atom_site_fract_y
_atom_site_fract_z
Ce1 Ce 0.0000 0.5000 0.2352
Nb1 Nb 0.0000 0.0000 0.5000
P1 P 0.0000 0.0000 0.0000
P2 P 0.0000 0.5000 0.6384
P3 P 0.5000 0.5000 0.0000
Ir1 Ir 0.0000 0.5000 0.8910
Ir2 Ir 0.5000 0.5000 0.5000
# - Energy of formation: -1.013 eV per atom
# - Fermi-level density of states: 9.34 states/eV/f.u.